1.
LaPrNd2Er | PBE | optimized geometry

a = 6.503 Å, b = 9.200 Å, c = 6.514 Å
α = 110.04°, β = 90.00°, γ = 90.00°
Atoms (fractional coordinates):
Nd1 0.677 0.684 0.841
Nd2 0.323 0.684 0.341
Er1 0.504 0.000 0.250
Er2 0.496 0.000 0.750
Nd3 0.323 0.316 0.159
La1 0.000 0.000 0.000
Nd4 0.677 0.316 0.659
Pr1 0.839 0.500 0.250
Pr2 0.161 0.500 0.750
La2 0.000 0.000 0.500

E_tot (Ha/atom): -0.1657
Energy relative to the elements (eV per atom): 0.25

***

2.
LiTa2Cl | PBE | optimized geometry

a = 6.356 Å, b = 6.356 Å, c = 3.060 Å
α = 74.68°, β = 74.68°, γ = 128.02°
Atoms (fractional coordinates):
Cl1 0.500 0.000 0.500
Ta1 0.500 0.500 0.000
Li1 0.000 0.500 0.500
Ta2 0.000 0.000 0.000

E_tot (Ha/atom): -0.2392
Energy above the most stable polymorph in this dataset (meV per atom): 492
Raw formation energy (eV per atom): 0.358

***

3.
Li2InPtN | PBE | optimized geometry

a = 4.353 Å, b = 4.353 Å, c = 3.876 Å
α = 90.00°, β = 90.00°, γ = 90.00°
Atoms (fractional coordinates):
N1 0.000 0.000 0.000
Li1 0.500 0.000 0.000
Li2 0.000 0.500 0.000
Pt1 0.000 0.000 0.500
In1 0.500 0.500 0.500

E_tot (Ha/atom): -0.1637
Raw formation energy (eV per atom): -0.268

***

4.
RbAlIn2 | PBE | optimized geometry

a = 3.706 Å, b = 3.706 Å, c = 8.787 Å
α = 90.00°, β = 90.00°, γ = 90.00°
Atoms (fractional coordinates):
Rb1 0.500 0.500 0.500
In1 0.000 0.000 0.182
Al1 0.500 0.500 0.000
In2 0.000 0.000 0.818

E_tot (Ha/atom): -0.0917
Energy relative to the elements (eV per atom): 0.05

***

5.
Li2YSc | PBE | optimized geometry

a = 10.858 Å, b = 10.858 Å, c = 10.858 Å
α = 17.35°, β = 17.35°, γ = 17.35°
Atoms (fractional coordinates):
Y1 0.750 0.750 0.750
Li1 0.997 0.997 0.997
Sc1 0.250 0.250 0.250
Li2 0.503 0.503 0.503

E_tot (Ha/atom): -0.1452
Energy relative to the elements (eV per atom): 0.20
Energy above the most stable polymorph in this dataset (meV per atom): 118

***

6.
SbOsI2O | PBE | optimized geometry

a = 4.909 Å, b = 4.909 Å, c = 4.488 Å
α = 90.00°, β = 90.00°, γ = 90.00°
Atoms (fractional coordinates):
I1 0.000 0.500 0.000
O1 0.000 0.000 0.000
Sb1 0.000 0.000 0.500
Os1 0.500 0.500 0.500
I2 0.500 0.000 0.000

E_tot (Ha/atom): -0.1252
Energy above the most stable polymorph in this dataset (meV per atom): 1093
Raw formation energy (eV per atom): 1.275

***

7.
HoTi4 | PBE | optimized geometry

a = 4.780 Å, b = 4.780 Å, c = 4.780 Å
α = 90.00°, β = 90.00°, γ = 90.00°
Atoms (fractional coordinates):
Ti1 0.500 0.500 0.000
Ti2 0.000 0.000 0.000
Ti3 0.000 0.500 0.500
Ho1 0.500 0.500 0.500
Ti4 0.500 0.000 0.500

E_tot (Ha/atom): -0.2128
Energy relative to the elements (eV per atom): 1.44